1.
Here is an optimized crystal structure of DyY2Tc from Alexandria via LeMat-Bulk. Energies are from GGA-PBE.

## Properties
M_tot ... 0.00 μB per formula unit
Density of states at the Fermi level ... 1.578 states/eV/atom
Energy above the lowest structure with this stoichiometry ... 0.146 eV/atom
Total DFT energy (no corrections) ... -27.68 eV for the cell shown
Energy relative to the elements ... 0.2 eV/f.u.

```
DyY2Tc
1.0
3.468 0.000 0.000
0.000 3.468 0.000
0.000 0.000 8.894
Dy Y Tc
1 2 1
Cartesian
0.000 0.000 0.000 Dy
1.734 1.734 2.794 Y
1.734 1.734 6.101 Y
0.000 0.000 4.447 Tc
```


2.
Here is an optimized crystal structure of La2GaBr4 from Alexandria via LeMat-Bulk. Energies are from GGA-PBE.

## Properties
M_tot ... 0.00 μB per formula unit
Density of states at the Fermi level ... 0.729 states/eV/atom
Total DFT energy (no corrections) ... -26.05 eV for the cell shown
Formation energy from raw total energies ... -0.925 eV/atom

```
La2GaBr4
1.0
-2.989 2.989 7.287
2.989 -2.989 7.287
2.989 2.989 -7.287
La Ga Br
2 1 4
Cartesian
0.000 0.000 1.376 La
0.000 0.000 13.198 La
0.000 0.000 7.287 Ga
2.989 0.000 0.000 Br
0.000 0.000 4.326 Br
0.000 2.989 0.000 Br
0.000 0.000 10.248 Br
```


3.
Here is an optimized crystal structure of Mn3CdB from Alexandria via LeMat-Bulk. Energies are from GGA-PBE.

## Properties
M_tot ... 8.09 μB per formula unit
Density of states at the Fermi level ... 0.458 states/eV/atom
Energy above the lowest structure with this stoichiometry ... 0.000 eV/atom
Total DFT energy (no corrections) ... -34.66 eV for the cell shown
Energy relative to the elements ... 0.4 eV/f.u.

```
Mn3CdB
1.0
4.054 0.000 0.000
0.000 4.054 0.000
0.000 0.000 4.054
Mn Cd B
3 1 1
Cartesian
0.000 0.000 2.027 Mn
0.000 2.027 0.000 Mn
2.027 0.000 0.000 Mn
2.027 2.027 2.027 Cd
0.000 0.000 0.000 B
```